Density functional theory data (PBE-GGA) for a relaxed structure of RbLiMgB2.

Output
The space group is No. 123.

abc: 4.627 4.627 5.711
angles: 90.00 90.00 90.00
Atoms (fractional coordinates):
Rb 0.000 0.000 0.000
Li 0.500 0.500 0.000
Mg 0.000 0.000 0.500
B 0.000 0.500 0.500
B 0.500 0.000 0.500

Density functional theory data (PBE-GGA) for a relaxed structure of Al4Ga3.

Output
The space group is No. 71.

abc: 2.999 3.970 20.241
angles: 90.00 90.00 90.00
Atoms (fractional coordinates):
Al 0.000 0.000 0.072
Al 0.000 0.000 0.215
Al 0.000 0.000 0.785
Al 0.000 0.000 0.928
Al 0.500 0.500 0.285
Al 0.500 0.500 0.428
Al 0.500 0.500 0.572
Al 0.500 0.500 0.715
Ga 0.000 0.000 0.356
Ga 0.000 0.000 0.500
Ga 0.000 0.000 0.644
Ga 0.500 0.500 0.000
Ga 0.500 0.500 0.144
Ga 0.500 0.500 0.856

In eV per atom, the ΔH_f (0 K) values for the records above are, in order, 1.587 0.036.
In μB/f.u., the total magnetic moment values for the records above are, in order, 0.0 0.0.